## SmScO3 (PBE-GGA)

Data for crystalline SmScO3 at its relaxed geometry.

Summary:
**Magnetization**: 0.00 μB per cell
**Energy relative to the elements, uncorrected**: -3.171 eV per atom
**E**: -8.356 eV per atom

Cell lengths 5.587, 12.133, 3.936 Å; angles 90.00, 90.00, 90.00 degrees
Space group Cmmm (No. 65)
One atom of each set of equivalent atoms:
Sm: 0.000 0.158 0.000 [4 per cell]
Sc: 0.000 0.381 0.500 [4 per cell]
O: 0.000 0.343 0.000 [4 per cell]
O: 0.234 0.000 0.500 [4 per cell]
O: 0.250 0.250 0.500 [4 per cell]